VASP calculation (PBE) on MgTl2Sb2 after structural relaxation.

## Properties
Its total magnetization is 0.0 μB/cell. For the electronic total energy, the calculation gives -13.9 eV per cell. As for the energy above the lowest structure with this stoichiometry: 96 kJ/mol of formula units. The value obtained for the formation energy without anion corrections is 0.128 eV/atom. Its density of states at the Fermi level is 1.697 states/eV/f.u. Its space-group type is I4/mmm, No. 139.

abc: 4.308 4.308 9.159
angles: 76.40 76.40 90.00
Positions (direct):
Tl (0.597, 0.597, 0.806)
Tl (0.403, 0.403, 0.194)
Sb (0.250, 0.750, 0.500)
Sb (0.750, 0.250, 0.500)
Mg (0.000, 0.000, 0.000)

=====

VASP calculation (PBE) on MgTlSb after structural relaxation.

## Properties
Its total magnetization is 0.0 μB/cell. For the electronic total energy, the calculation gives -17.6 eV per cell. The value obtained for the formation energy without anion corrections is -0.231 eV/atom. Its density of states at the Fermi level is 0.000 states/eV/f.u. Its space-group type is C2/m, No. 12.

abc: 4.761 4.759 10.425
angles: 103.32 103.24 59.96
Positions (direct):
Mg (0.243, 0.169, 0.115)
Mg (0.511, 0.434, 0.917)
Tl (0.753, 0.675, 0.643)
Tl (0.001, 0.927, 0.389)
Sb (0.607, 0.533, 0.207)
Sb (0.147, 0.070, 0.824)